# 1
Crystalline GaAgPO2 at its relaxed geometry. Source: Alexandria, functional PBE.

Output
DOS(E_F), states/eV per atom: 0.92
Distance to the lowest polymorph of the same formula, eV per atom: 0.631
Uncorrected formation energy, meV per atom: 517
Size of the total moment, μB per formula unit: 0.46

Cell: 3.984 3.984 5.047 Å, 90.00 90.00 90.00°
Each line ends with the local moment (μB).
Atoms (fractional coordinates):
O1 0.000 0.500 0.000  0.17
O2 0.500 0.000 0.000  0.17
P1 0.000 0.000 0.500  0.02
Ga1 0.500 0.500 0.500  0.00
Ag1 0.000 0.000 0.000  0.03

***

# 2
Crystalline PaGa2AgO6 at its relaxed geometry. Source: Alexandria, functional PBE.

Output
DOS(E_F), states/eV per atom: 0.00
Uncorrected formation energy, meV per atom: -2136
Size of the total moment, μB per formula unit: 0.00

Cell: 5.449 7.330 7.330 Å, 88.98 83.38 83.38°
Atoms (fractional coordinates):
Pa1 0.250 0.275 0.725
Pa2 0.750 0.725 0.275
Ga1 0.194 0.780 0.611
Ga2 0.306 0.389 0.220
Ga3 0.806 0.220 0.389
Ga4 0.694 0.611 0.780
Ag1 0.250 0.924 0.076
Ag2 0.750 0.076 0.924
O1 0.152 0.991 0.749
O2 0.348 0.251 0.009
O3 0.848 0.009 0.251
O4 0.652 0.749 0.991
O5 0.396 0.818 0.396
O6 0.104 0.604 0.182
O7 0.604 0.182 0.604
O8 0.896 0.396 0.818
O9 0.880 0.712 0.574
O10 0.620 0.426 0.288
O11 0.120 0.288 0.426
O12 0.380 0.574 0.712

***

# 3
Crystalline Pa2GaAgO8 at its relaxed geometry. Source: Alexandria, functional PBE.

Output
DOS(E_F), states/eV per atom: 0.19
Uncorrected formation energy, meV per atom: -1911
Size of the total moment, μB per formula unit: 2.00

Cell: 5.065 5.065 7.292 Å, 90.00 90.00 120.00°
Each line ends with the local moment (μB).
Atoms (fractional coordinates):
Pa1 0.667 0.333 0.164  -0.05
Pa2 0.333 0.667 0.836  -0.05
Ga1 0.000 0.000 0.000  0.06
Ag1 0.000 0.000 0.500  0.01
O1 0.824 0.647 0.846  0.30
O2 0.353 0.176 0.846  0.30
O3 0.824 0.176 0.846  0.30
O4 0.176 0.353 0.154  0.30
O5 0.647 0.824 0.154  0.30
O6 0.176 0.824 0.154  0.30
O7 0.667 0.333 0.420  0.01
O8 0.333 0.667 0.580  0.01

***

# 4
Crystalline PaGaAgO6 at its relaxed geometry. Source: Alexandria, functional PBE.

Output
DOS(E_F), states/eV per atom: 0.51
Uncorrected formation energy, meV per atom: -1719
Size of the total moment, μB per formula unit: 1.00

Cell: 4.804 5.238 5.238 Å, 120.00 90.00 90.00°
Each line ends with the local moment (μB).
Atoms (fractional coordinates):
Pa1 0.000 0.333 0.667  0.07
Ga1 0.500 0.000 0.000  -0.01
Ag1 0.500 0.667 0.333  0.32
O1 0.734 0.683 0.683  0.09
O2 0.734 0.317 0.999  0.09
O3 0.734 0.001 0.317  0.09
O4 0.266 0.317 0.317  0.09
O5 0.266 0.683 0.999  0.09
O6 0.266 0.001 0.683  0.09

***

# 5
Crystalline GaAgPbO4 at its relaxed geometry. Source: Alexandria, functional PBE.

Output
DOS(E_F), states/eV per atom: 0.31
Uncorrected formation energy, meV per atom: -987
Size of the total moment, μB per formula unit: 0.00

Cell: 6.164 6.507 6.830 Å, 121.65 90.00 118.27°
Atoms (fractional coordinates):
Ga1 0.500 0.500 0.500
Ga2 0.000 0.500 0.500
Ag1 0.841 0.682 0.091
Ag2 0.159 0.318 0.909
Pb1 0.500 0.000 0.500
Pb2 0.500 0.000 0.000
O1 0.740 0.480 0.686
O2 0.290 0.049 0.274
O3 0.759 0.049 0.274
O4 0.740 0.480 0.294
O5 0.260 0.520 0.706
O6 0.710 0.951 0.726
O7 0.241 0.951 0.726
O8 0.260 0.520 0.314

***

# 6
Crystalline GaAg2PbO4 at its relaxed geometry. Source: Alexandria, functional PBE.

Output
DOS(E_F), states/eV per atom: 0.49
Uncorrected formation energy, meV per atom: -814
Size of the total moment, μB per formula unit: 0.42

Cell: 5.266 5.267 6.038 Å, 115.86 115.86 90.00°
Each line ends with the local moment (μB).
Atoms (fractional coordinates):
Ga1 0.736 0.736 0.472  0.00
Ag1 0.486 0.986 0.972  0.02
Ag2 0.236 0.236 0.472  0.01
Pb1 0.986 0.486 0.972  0.06
O1 0.649 0.627 0.693  0.07
O2 0.845 0.427 0.250  0.07
O3 0.405 0.823 0.250  0.07
O4 0.045 0.067 0.693  0.07

***

# 7
Crystalline GaAgPb2O6 at its relaxed geometry. Source: Alexandria, functional PBE.

Output
DOS(E_F), states/eV per atom: 0.60
Uncorrected formation energy, meV per atom: -926
Size of the total moment, μB per formula unit: 0.00

Cell: 5.628 5.629 5.954 Å, 61.79 61.79 60.01°
Atoms (fractional coordinates):
Ga1 0.321 0.321 0.038
Ag1 0.781 0.781 0.658
Pb1 0.528 0.528 0.415
Pb2 0.015 0.014 0.957
O1 0.584 0.243 0.223
O2 0.243 0.950 0.223
O3 0.950 0.584 0.223
O4 0.384 0.700 0.760
O5 0.700 0.156 0.760
O6 0.156 0.384 0.760

***

# 8
Crystalline GaAgPdO4 at its relaxed geometry. Source: Alexandria, functional PBE.

Output
DOS(E_F), states/eV per atom: 0.01
Uncorrected formation energy, meV per atom: -824
Size of the total moment, μB per formula unit: 0.00

Cell: 6.434 6.265 6.129 Å, 119.28 90.00 120.89°
Atoms (fractional coordinates):
Ga1 0.500 0.000 0.500
Ga2 0.500 0.000 0.000
Ag1 0.890 0.781 0.140
Ag2 0.110 0.219 0.860
Pd1 0.500 0.500 0.500
Pd2 0.000 0.500 0.500
O1 0.732 0.465 0.696
O2 0.314 0.036 0.268
O3 0.722 0.036 0.268
O4 0.732 0.465 0.269
O5 0.268 0.535 0.731
O6 0.686 0.964 0.732
O7 0.278 0.964 0.732
O8 0.268 0.535 0.304

***

# 9
Crystalline Pm3GaAg3O8 at its relaxed geometry. Source: Alexandria, functional PBE.

Output
DOS(E_F), states/eV per atom: 0.72
Uncorrected formation energy, meV per atom: -1853
Size of the total moment, μB per formula unit: 0.00

Cell: 7.167 7.003 8.516 Å, 127.75 90.00 120.78°
Atoms (fractional coordinates):
Pm1 0.500 0.000 0.500
Pm2 0.500 0.500 0.500
Pm3 0.000 0.500 0.500
Ga1 0.000 0.000 0.500
Ag1 0.000 0.000 0.000
Ag2 0.000 0.500 0.000
Ag3 0.500 0.500 0.000
O1 0.238 0.477 0.314
O2 0.762 0.523 0.686
O3 0.781 0.562 0.343
O4 0.219 0.438 0.657
O5 0.747 0.965 0.314
O6 0.253 0.035 0.686
O7 0.218 0.965 0.314
O8 0.782 0.035 0.686

***

# 10
Crystalline Pm2GaAg2O6 at its relaxed geometry. Source: Alexandria, functional PBE.

Output
DOS(E_F), states/eV per atom: 0.78
Uncorrected formation energy, meV per atom: -1811
Size of the total moment, μB per formula unit: 0.07

Cell: 6.045 6.045 5.758 Å, 92.94 92.94 121.97°
Atoms (fractional coordinates):
Pm1 0.338 0.662 0.500
Pm2 0.662 0.338 0.500
Ga1 0.000 0.000 0.500
Ag1 0.855 0.145 0.000
Ag2 0.145 0.855 0.000
O1 0.734 0.734 0.678
O2 0.011 0.315 0.691
O3 0.266 0.266 0.322
O4 0.315 0.011 0.691
O5 0.989 0.685 0.309
O6 0.685 0.989 0.309

***

# 11
Crystalline Pm3GaAg4O8 at its relaxed geometry. Source: Alexandria, functional PBE.

Output
Uncorrected formation energy, meV per atom: -1723
Size of the total moment, μB per formula unit: 0.00

Cell: 6.920 6.728 7.252 Å, 120.16 118.49 90.00°
Atoms (fractional coordinates):
Pm1 0.500 0.500 0.000
Pm2 0.500 0.500 0.500
Pm3 0.000 0.500 0.500
Ga1 0.000 0.500 0.000
Ag1 0.500 0.000 0.000
Ag2 0.500 0.000 0.500
Ag3 0.000 0.000 0.000
Ag4 0.000 0.000 0.500
O1 0.174 0.663 0.942
O2 0.292 0.775 0.583
O3 0.277 0.296 0.555
O4 0.768 0.663 0.942
O5 0.232 0.337 0.058
O6 0.723 0.704 0.445
O7 0.708 0.225 0.417
O8 0.826 0.337 0.058

***

# 12
Crystalline PmGaAgO4 at its relaxed geometry. Source: Alexandria, functional PBE.

Output
DOS(E_F), states/eV per atom: 0.61
Uncorrected formation energy, meV per atom: -1796
Size of the total moment, μB per formula unit: 0.00

Cell: 5.582 5.582 7.185 Å, 90.00 90.00 113.35°
Atoms (fractional coordinates):
Pm1 0.500 0.500 0.500
Pm2 0.500 0.500 0.000
Ga1 0.136 0.864 0.250
Ga2 0.864 0.136 0.750
Ag1 0.801 0.199 0.250
Ag2 0.199 0.801 0.750
O1 0.230 0.265 0.750
O2 0.735 0.770 0.750
O3 0.750 0.250 0.962
O4 0.750 0.250 0.538
O5 0.250 0.750 0.038
O6 0.250 0.750 0.462
O7 0.770 0.735 0.250
O8 0.265 0.230 0.250

***

# 13
Crystalline PrGaAg2O4 at its relaxed geometry. Source: Alexandria, functional PBE.

Output
DOS(E_F), states/eV per atom: 0.04
Uncorrected formation energy, meV per atom: -1487
Size of the total moment, μB per formula unit: 0.00

Cell: 6.099 5.402 5.402 Å, 70.72 55.63 55.63°
Atoms (fractional coordinates):
Pr1 0.000 0.000 0.000
Ga1 0.000 0.500 0.500
Ag1 0.500 0.731 0.269
Ag2 0.500 0.269 0.731
O1 0.671 0.462 0.849
O2 0.329 0.151 0.538
O3 0.982 0.538 0.151
O4 0.018 0.849 0.462

***

# 14
Crystalline Pr2GaAgO5 at its relaxed geometry. Source: Alexandria, functional PBE.

Output
Uncorrected formation energy, meV per atom: -2152
Size of the total moment, μB per formula unit: 0.00

Cell: 5.760 6.840 6.840 Å, 90.00 90.00 90.00°
Atoms (fractional coordinates):
Pr1 0.500 0.678 0.178
Pr2 0.500 0.178 0.322
Pr3 0.500 0.822 0.678
Pr4 0.500 0.322 0.822
Ga1 0.000 0.000 0.500
Ga2 0.000 0.500 0.000
Ag1 0.000 0.500 0.500
Ag2 0.000 0.000 0.000
O1 0.500 0.500 0.500
O2 0.500 0.000 0.000
O3 0.241 0.133 0.633
O4 0.241 0.867 0.367
O5 0.241 0.367 0.133
O6 0.241 0.633 0.867
O7 0.759 0.133 0.633
O8 0.759 0.633 0.867
O9 0.759 0.867 0.367
O10 0.759 0.367 0.133

***

# 15
Crystalline GaAgPtO4 at its relaxed geometry. Source: Alexandria, functional PBE.

Output
Uncorrected formation energy, meV per atom: -877
Size of the total moment, μB per formula unit: 0.00

Cell: 6.468 6.309 6.125 Å, 119.04 90.00 120.84°
Atoms (fractional coordinates):
Ga1 0.500 0.000 0.500
Ga2 0.500 0.000 0.000
Ag1 0.894 0.788 0.144
Ag2 0.106 0.212 0.856
Pt1 0.500 0.500 0.500
Pt2 0.000 0.500 0.500
O1 0.731 0.461 0.691
O2 0.318 0.042 0.271
O3 0.724 0.042 0.271
O4 0.731 0.461 0.270
O5 0.269 0.539 0.730
O6 0.682 0.958 0.729
O7 0.276 0.958 0.729
O8 0.269 0.539 0.309

***

# 16
Crystalline GaAgPtO6 at its relaxed geometry. Source: Alexandria, functional PBE.

Output
DOS(E_F), states/eV per atom: 0.84
Uncorrected formation energy, meV per atom: -498
Size of the total moment, μB per formula unit: 0.00

Cell: 5.208 5.208 8.907 Å, 90.00 90.00 120.00°
Atoms (fractional coordinates):
Ga1 0.667 0.333 0.250
Ga2 0.333 0.667 0.750
Ag1 0.000 0.000 0.000
Ag2 0.000 0.000 0.500
Pt1 0.333 0.667 0.250
Pt2 0.667 0.333 0.750
O1 0.636 0.638 0.130
O2 0.003 0.364 0.130
O3 0.364 0.003 0.630
O4 0.997 0.636 0.870
O5 0.362 0.364 0.370
O6 0.003 0.638 0.370
O7 0.638 0.003 0.870
O8 0.636 0.997 0.370
O9 0.997 0.362 0.630
O10 0.362 0.997 0.130
O11 0.638 0.636 0.630
O12 0.364 0.362 0.870

***

# 17
Crystalline Pu2GaAgO8 at its relaxed geometry. Source: Alexandria, functional PBE.

Output
DOS(E_F), states/eV per atom: 0.33
Uncorrected formation energy, meV per atom: -1984
Size of the total moment, μB per formula unit: 3.98

Cell: 4.780 4.781 6.917 Å, 90.00 90.00 89.05°
Each line ends with the local moment (μB).
Atoms (fractional coordinates):
Pu1 0.500 0.500 0.755  2.71
Pu2 0.500 0.500 0.245  2.71
Ga1 0.000 0.000 0.000  -0.01
Ag1 0.000 0.000 0.500  -0.24
O1 0.206 0.794 0.219  -0.15
O2 0.705 0.705 0.000  -0.10
O3 0.794 0.206 0.219  -0.15
O4 0.794 0.206 0.781  -0.15
O5 0.295 0.295 0.000  -0.10
O6 0.206 0.794 0.781  -0.15
O7 0.680 0.681 0.500  -0.17
O8 0.320 0.319 0.500  -0.17

***

# 18
Crystalline GaAgRu2O8 at its relaxed geometry. Source: Alexandria, functional PBE.

Output
DOS(E_F), states/eV per atom: 0.40
Uncorrected formation energy, meV per atom: -707
Size of the total moment, μB per formula unit: 3.94

Cell: 5.463 5.463 6.828 Å, 90.00 90.00 120.00°
Each line ends with the local moment (μB).
Atoms (fractional coordinates):
Ga1 0.000 0.000 0.500  0.06
Ag1 0.000 0.000 0.000  0.04
Ru1 0.667 0.333 0.244  1.04
Ru2 0.333 0.667 0.756  1.04
O1 0.333 0.667 0.010  0.22
O2 0.315 0.252 0.322  0.15
O3 0.748 0.064 0.322  0.15
O4 0.667 0.333 0.990  0.22
O5 0.252 0.936 0.678  0.15
O6 0.685 0.748 0.678  0.15
O7 0.064 0.315 0.678  0.15
O8 0.936 0.685 0.322  0.15

***

# 19
Crystalline GaAgS2O8 at its relaxed geometry. Source: Alexandria, functional PBE.

Output
DOS(E_F), states/eV per atom: 0.00
Uncorrected formation energy, meV per atom: -1277
Size of the total moment, μB per formula unit: 0.00

Cell: 4.823 4.823 7.577 Å, 91.45 91.45 64.89°
Atoms (fractional coordinates):
Ga1 0.000 0.000 0.000
Ag1 0.000 0.000 0.500
S1 0.652 0.652 0.207
S2 0.348 0.348 0.793
O1 0.692 0.222 0.811
O2 0.767 0.767 0.058
O3 0.731 0.731 0.382
O4 0.269 0.269 0.618
O5 0.233 0.233 0.942
O6 0.222 0.692 0.811
O7 0.778 0.308 0.189
O8 0.308 0.778 0.189

***

# 20
Crystalline GaAg2SO at its relaxed geometry. Source: Alexandria, functional PBE.

Output
DOS(E_F), states/eV per atom: 0.52
Uncorrected formation energy, meV per atom: 243
Size of the total moment, μB per formula unit: 0.00

Cell: 5.075 3.508 5.075 Å, 90.00 90.00 90.00°
Atoms (fractional coordinates):
O1 0.000 0.500 0.000
S1 0.000 0.000 0.000
Ga1 0.500 0.500 0.500
Ag1 0.000 0.000 0.500
Ag2 0.500 0.000 0.000